No. 1
# PBE HfZnN2O, optimized geometry
# **Spin magnetization**: 2.06 μB per formula unit
# **E_form (uncorrected)**: -0.14 eV/atom
# **DFT total energy**: -33.55 eV for the cell shown
data_HfZnN2O
_chemical_formula_sum 'Hf1 Zn1 N2 O1'
_symmetry_space_group_name_H-M 'P 1'
_symmetry_Int_Tables_number 1
_cell_length_a 4.255
_cell_length_b 4.255
_cell_length_c 4.026
_cell_angle_alpha 90.00
_cell_angle_beta 90.00
_cell_angle_gamma 90.00
loop_
_symmetry_equiv_pos_as_xyz
'x,y,z'
loop_
_atom_site_label
_atom_site_fract_x
_atom_site_fract_y
_atom_site_fract_z
Zn1 0.500 0.500 0.500
Hf1 0.000 0.000 0.000
O1 0.000 0.000 0.500
N1 0.000 0.500 0.000
N2 0.500 0.000 0.000

=====

No. 2
# PBE Li2InBr, optimized geometry
# **Spin magnetization**: 0.00 μB per formula unit
# **E_form (uncorrected)**: -0.66 eV/atom
# **DFT total energy**: -10.88 eV for the cell shown
data_Li2InBr
_chemical_formula_sum 'Li2 In1 Br1'
_symmetry_space_group_name_H-M 'P 1'
_symmetry_Int_Tables_number 1
_cell_length_a 3.330
_cell_length_b 3.351
_cell_length_c 8.496
_cell_angle_alpha 66.06
_cell_angle_beta 90.00
_cell_angle_gamma 90.00
loop_
_symmetry_equiv_pos_as_xyz
'x,y,z'
loop_
_atom_site_label
_atom_site_fract_x
_atom_site_fract_y
_atom_site_fract_z
Br1 0.500 0.250 0.250
In1 0.500 0.750 0.750
Li1 0.000 0.957 0.040
Li2 0.000 0.543 0.460

=====

No. 3
# PBE CePmTlSi, optimized geometry
# **Spin magnetization**: 1.24 μB per formula unit
# **E_form (uncorrected)**: -0.30 eV/atom
# **DFT total energy**: -19.66 eV for the cell shown
data_CePmTlSi
_chemical_formula_sum 'Ce1 Pm1 Tl1 Si1'
_symmetry_space_group_name_H-M 'P 1'
_symmetry_Int_Tables_number 1
_cell_length_a 5.302
_cell_length_b 5.302
_cell_length_c 5.302
_cell_angle_alpha 60.00
_cell_angle_beta 60.00
_cell_angle_gamma 60.00
loop_
_symmetry_equiv_pos_as_xyz
'x,y,z'
loop_
_atom_site_label
_atom_site_fract_x
_atom_site_fract_y
_atom_site_fract_z
Tl1 0.250 0.250 0.250
Si1 0.750 0.750 0.750
Ce1 0.500 0.500 0.500
Pm1 0.000 0.000 0.000

=====

No. 4
# PBE MnAg2H, optimized geometry
# **Spin magnetization**: 4.15 μB per formula unit
# **DFT total energy**: -32.99 eV for the cell shown
data_MnAg2H
_chemical_formula_sum 'Mn2 Ag4 H2'
_symmetry_space_group_name_H-M 'P 1'
_symmetry_Int_Tables_number 1
_cell_length_a 6.532
_cell_length_b 6.532
_cell_length_c 5.318
_cell_angle_alpha 52.11
_cell_angle_beta 52.11
_cell_angle_gamma 90.00
loop_
_symmetry_equiv_pos_as_xyz
'x,y,z'
loop_
_atom_site_label
_atom_site_fract_x
_atom_site_fract_y
_atom_site_fract_z
H1 0.500 0.500 0.000
H2 0.250 0.750 0.500
Mn1 0.000 0.000 0.000
Mn2 0.750 0.250 0.500
Ag1 0.533 0.125 0.250
Ag2 0.217 0.625 0.250
Ag3 0.375 0.467 0.750
Ag4 0.875 0.783 0.750

=====

No. 5
# PBE YMoN3, optimized geometry
# **Spin magnetization**: 0.00 μB per formula unit
# **E_form (uncorrected)**: -0.59 eV/atom
# **DFT total energy**: -45.24 eV for the cell shown
data_YMoN3
_chemical_formula_sum 'Y1 Mo1 N3'
_symmetry_space_group_name_H-M 'P 1'
_symmetry_Int_Tables_number 1
_cell_length_a 3.543
_cell_length_b 5.577
_cell_length_c 3.543
_cell_angle_alpha 90.00
_cell_angle_beta 120.00
_cell_angle_gamma 90.00
loop_
_symmetry_equiv_pos_as_xyz
'x,y,z'
loop_
_atom_site_label
_atom_site_fract_x
_atom_site_fract_y
_atom_site_fract_z
Y1 0.058 0.477 0.958
Mo1 0.391 0.946 0.625
N1 0.724 0.718 0.291
N2 0.391 0.278 0.625
N3 0.058 0.952 0.958

=====

No. 6
# PBE Zr3N, optimized geometry
# **Spin magnetization**: 0.00 μB per formula unit
# **E_form (uncorrected)**: -0.49 eV/atom
# **DFT total energy**: -35.92 eV for the cell shown
data_Zr3N
_chemical_formula_sum 'Zr3 N1'
_symmetry_space_group_name_H-M 'P 1'
_symmetry_Int_Tables_number 1
_cell_length_a 3.049
_cell_length_b 5.447
_cell_length_c 5.392
_cell_angle_alpha 120.34
_cell_angle_beta 106.42
_cell_angle_gamma 90.00
loop_
_symmetry_equiv_pos_as_xyz
'x,y,z'
loop_
_atom_site_label
_atom_site_fract_x
_atom_site_fract_y
_atom_site_fract_z
Zr1 0.330 0.696 0.659
Zr2 0.500 0.369 0.000
Zr3 0.670 0.037 0.341
N1 0.000 0.064 0.000

=====

No. 7
# PBE Tm3Si4Rh, optimized geometry
# **Spin magnetization**: 0.00 μB per formula unit
# **E_form (uncorrected)**: -0.64 eV/atom
# **DFT total energy**: -47.57 eV for the cell shown
data_Tm3Si4Rh
_chemical_formula_sum 'Tm3 Si4 Rh1'
_symmetry_space_group_name_H-M 'P 1'
_symmetry_Int_Tables_number 1
_cell_length_a 4.188
_cell_length_b 5.598
_cell_length_c 7.994
_cell_angle_alpha 110.50
_cell_angle_beta 105.19
_cell_angle_gamma 90.00
loop_
_symmetry_equiv_pos_as_xyz
'x,y,z'
loop_
_atom_site_label
_atom_site_fract_x
_atom_site_fract_y
_atom_site_fract_z
Tm1 0.194 0.194 0.388
Tm2 0.806 0.806 0.612
Tm3 0.000 0.500 0.000
Si1 0.379 0.587 0.758
Si2 0.621 0.413 0.242
Si3 0.621 0.829 0.242
Si4 0.379 0.171 0.758
Rh1 0.500 0.000 0.000

=====

No. 8
# PBE Ti8OsPb2, optimized geometry
# **Spin magnetization**: 0.00 μB per formula unit
# **DFT total energy**: -83.01 eV for the cell shown
data_Ti8OsPb2
_chemical_formula_sum 'Ti8 Os1 Pb2'
_symmetry_space_group_name_H-M 'P 1'
_symmetry_Int_Tables_number 1
_cell_length_a 4.664
_cell_length_b 6.354
_cell_length_c 7.869
_cell_angle_alpha 113.81
_cell_angle_beta 107.24
_cell_angle_gamma 90.00
loop_
_symmetry_equiv_pos_as_xyz
'x,y,z'
loop_
_atom_site_label
_atom_site_fract_x
_atom_site_fract_y
_atom_site_fract_z
Ti1 0.367 0.606 0.733
Ti2 0.633 0.873 0.267
Ti3 0.833 0.833 0.665
Ti4 0.000 0.253 0.000
Ti5 0.167 0.167 0.335
Ti6 0.367 0.127 0.733
Ti7 0.633 0.394 0.267
Ti8 0.000 0.747 0.000
Os1 0.500 0.000 0.000
Pb1 0.812 0.312 0.625
Pb2 0.188 0.688 0.375

=====

No. 9
# PBE SrIn3Ga3, optimized geometry
# **Spin magnetization**: 0.00 μB per formula unit
# **DFT total energy**: -37.20 eV for the cell shown
data_SrIn3Ga3
_chemical_formula_sum 'Sr2 In6 Ga6'
_symmetry_space_group_name_H-M 'P 1'
_symmetry_Int_Tables_number 1
_cell_length_a 7.598
_cell_length_b 7.598
_cell_length_c 7.598
_cell_angle_alpha 90.00
_cell_angle_beta 90.00
_cell_angle_gamma 90.00
loop_
_symmetry_equiv_pos_as_xyz
'x,y,z'
loop_
_atom_site_label
_atom_site_fract_x
_atom_site_fract_y
_atom_site_fract_z
Sr1 0.500 0.500 0.500
Sr2 0.000 0.000 0.000
Ga1 0.250 0.000 0.500
Ga2 0.000 0.500 0.250
Ga3 0.500 0.750 0.000
Ga4 0.750 0.000 0.500
Ga5 0.000 0.500 0.750
Ga6 0.500 0.250 0.000
In1 0.000 0.250 0.500
In2 0.000 0.750 0.500
In3 0.500 0.000 0.750
In4 0.750 0.500 0.000
In5 0.500 0.000 0.250
In6 0.250 0.500 0.000

=====

No. 10
# PBE Tl2PtI6, optimized geometry
# **Spin magnetization**: 0.00 μB per formula unit
# **E_form (uncorrected)**: -0.35 eV/atom
# **DFT total energy**: -23.26 eV for the cell shown
data_Tl2PtI6
_chemical_formula_sum 'Tl2 Pt1 I6'
_symmetry_space_group_name_H-M 'P 1'
_symmetry_Int_Tables_number 1
_cell_length_a 7.932
_cell_length_b 7.932
_cell_length_c 7.932
_cell_angle_alpha 60.00
_cell_angle_beta 60.00
_cell_angle_gamma 60.00
loop_
_symmetry_equiv_pos_as_xyz
'x,y,z'
loop_
_atom_site_label
_atom_site_fract_x
_atom_site_fract_y
_atom_site_fract_z
Tl1 0.250 0.250 0.250
Tl2 0.750 0.750 0.750
Pt1 0.000 0.000 0.000
I1 0.240 0.760 0.760
I2 0.240 0.760 0.240
I3 0.760 0.240 0.760
I4 0.760 0.240 0.240
I5 0.760 0.760 0.240
I6 0.240 0.240 0.760

=====

No. 11
# PBE KScPbF6, optimized geometry
# **Spin magnetization**: 0.00 μB per formula unit
# **E_form (uncorrected)**: -3.18 eV/atom
# **DFT total energy**: -50.98 eV for the cell shown
data_KScPbF6
_chemical_formula_sum 'K1 Sc1 Pb1 F6'
_symmetry_space_group_name_H-M 'P 1'
_symmetry_Int_Tables_number 1
_cell_length_a 5.959
_cell_length_b 5.959
_cell_length_c 4.564
_cell_angle_alpha 90.00
_cell_angle_beta 90.00
_cell_angle_gamma 60.00
loop_
_symmetry_equiv_pos_as_xyz
'x,y,z'
loop_
_atom_site_label
_atom_site_fract_x
_atom_site_fract_y
_atom_site_fract_z
K1 0.000 0.000 0.828
Sc1 0.333 0.333 0.568
Pb1 0.667 0.667 0.188
F1 0.094 0.253 0.332
F2 0.443 0.000 0.807
F3 0.557 0.443 0.807
F4 0.000 0.557 0.807
F5 0.253 0.653 0.332
F6 0.653 0.094 0.332

=====

No. 12
# PBE K3NpCd2Se6, optimized geometry
# **Spin magnetization**: 2.00 μB per formula unit
# **E_form (uncorrected)**: -0.94 eV/atom
# **DFT total energy**: -50.24 eV for the cell shown
data_K3NpCd2Se6
_chemical_formula_sum 'K3 Np1 Cd2 Se6'
_symmetry_space_group_name_H-M 'P 1'
_symmetry_Int_Tables_number 1
_cell_length_a 7.209
_cell_length_b 7.209
_cell_length_c 8.038
_cell_angle_alpha 98.51
_cell_angle_beta 98.51
_cell_angle_gamma 120.17
loop_
_symmetry_equiv_pos_as_xyz
'x,y,z'
loop_
_atom_site_label
_atom_site_fract_x
_atom_site_fract_y
_atom_site_fract_z
K1 0.171 0.829 0.500
K2 0.829 0.171 0.500
K3 0.500 0.500 0.500
Np1 0.000 0.000 0.000
Cd1 0.334 0.666 0.000
Cd2 0.666 0.334 0.000
Se1 0.932 0.609 0.797
Se2 0.746 0.746 0.205
Se3 0.068 0.391 0.203
Se4 0.609 0.932 0.797
Se5 0.254 0.254 0.795
Se6 0.391 0.068 0.203

=====

No. 13
# PBE Li2YHo2Pb2, optimized geometry
# **Spin magnetization**: 0.00 μB per formula unit
# **DFT total energy**: -29.01 eV for the cell shown
data_Li2YHo2Pb2
_chemical_formula_sum 'Li2 Y1 Ho2 Pb2'
_symmetry_space_group_name_H-M 'P 1'
_symmetry_Int_Tables_number 1
_cell_length_a 4.829
_cell_length_b 4.829
_cell_length_c 9.307
_cell_angle_alpha 74.96
_cell_angle_beta 74.96
_cell_angle_gamma 60.00
loop_
_symmetry_equiv_pos_as_xyz
'x,y,z'
loop_
_atom_site_label
_atom_site_fract_x
_atom_site_fract_y
_atom_site_fract_z
Li1 0.595 0.595 0.215
Li2 0.405 0.405 0.785
Y1 0.000 0.000 0.000
Ho1 0.129 0.129 0.612
Ho2 0.871 0.871 0.388
Pb1 0.736 0.736 0.791
Pb2 0.264 0.264 0.209

=====

No. 14
# PBE Ag2HgBi, optimized geometry
# **Spin magnetization**: 0.00 μB per formula unit
# **DFT total energy**: -9.36 eV for the cell shown
data_Ag2HgBi
_chemical_formula_sum 'Ag2 Hg1 Bi1'
_symmetry_space_group_name_H-M 'P 1'
_symmetry_Int_Tables_number 1
_cell_length_a 4.791
_cell_length_b 4.791
_cell_length_c 5.445
_cell_angle_alpha 63.90
_cell_angle_beta 63.90
_cell_angle_gamma 60.00
loop_
_symmetry_equiv_pos_as_xyz
'x,y,z'
loop_
_atom_site_label
_atom_site_fract_x
_atom_site_fract_y
_atom_site_fract_z
Bi1 0.000 0.000 0.000
Ag1 0.772 0.772 0.684
Ag2 0.228 0.228 0.316
Hg1 0.500 0.500 0.500